Below is a relaxed structure of La4CePr10, with properties calculated at the PBE level.

Cell lengths 8.9109, 8.9109, 8.9109 Å; angles 111.21, 111.21, 106.04 degrees
With the nearest neighbours (Å) after each atom.
Fractional coordinates of all 15 atoms:
La (0.0476, 0.3159, 0.3636)  1 Ce 3.22, 2 Pr 3.29
La (0.3159, 0.9524, 0.2683)  1 Ce 3.22, 2 Pr 3.29
La (0.6841, 0.0476, 0.7317)  1 Ce 3.22, 2 Pr 3.29
La (0.9524, 0.6841, 0.6364)  1 Ce 3.22, 2 Pr 3.29
Ce (0.0000, 0.0000, 0.0000)  4 La 3.22
Pr (0.1385, 0.4599, 0.9189)  5 Pr 3.34-3.44
Pr (0.2196, 0.1385, 0.6787)  5 Pr 3.34-3.44
Pr (0.2500, 0.7500, 0.5000)  4 La 3.29, 4 Pr 3.38
Pr (0.4591, 0.7804, 0.9189)  5 Pr 3.34-3.44
Pr (0.4599, 0.5409, 0.3213)  5 Pr 3.34-3.44
Pr (0.5401, 0.4591, 0.6787)  5 Pr 3.34-3.44
Pr (0.5409, 0.2196, 0.0811)  5 Pr 3.34-3.44
Pr (0.7500, 0.2500, 0.5000)  4 La 3.29, 4 Pr 3.38
Pr (0.7804, 0.8615, 0.3213)  5 Pr 3.34-3.44
Pr (0.8615, 0.5401, 0.0811)  5 Pr 3.34-3.44

DFT formation energy = 0.284 eV/atom
Spin magnetization = 0.975 μB/cell
Mass density = 6434 kg/m3
Calculated total energy = -69.18 eV/cell
Space-group type = No. 87

***

Below is a relaxed structure of La3CePr, with properties calculated at the PBE level.

Cell lengths 9.0703, 3.5706, 11.6604 Å; angles 90.00, 111.99, 90.00 degrees
With the nearest neighbours (Å) after each atom.
Fractional coordinates of all 10 atoms:
La (0.0829, 0.2500, 0.1607)  9 La 3.57-3.91, 2 Pr 3.77, 2 Ce 3.81
La (0.2926, 0.7500, 0.4672)  3 Ce 3.35-3.56, 3 Pr 3.56-3.68, 2 La 3.57
La (0.2990, 0.2500, 0.9438)  1 Ce 3.32, 1 Pr 3.52, 4 La 3.57-3.68
La (0.7010, 0.7500, 0.0562)  1 Ce 3.32, 1 Pr 3.52, 4 La 3.57-3.68
La (0.7074, 0.2500, 0.5328)  3 Ce 3.35-3.56, 3 Pr 3.56-3.68, 2 La 3.57
La (0.9171, 0.7500, 0.8393)  9 La 3.57-3.91, 2 Pr 3.77, 2 Ce 3.81
Ce (0.1049, 0.2500, 0.6389)  4 La 3.32-3.56, 1 Pr 3.53, 4 Ce 3.56-3.57
Ce (0.8951, 0.7500, 0.3611)  4 La 3.32-3.56, 1 Pr 3.53, 4 Ce 3.56-3.57
Pr (0.4761, 0.7500, 0.2453)  8 La 3.52-3.77, 1 Ce 3.53, 2 Pr 3.57
Pr (0.5239, 0.2500, 0.7547)  8 La 3.52-3.77, 1 Ce 3.53, 2 Pr 3.57

DFT formation energy = 0.111 eV/atom
Spin magnetization = 1.613 μB/cell
Mass density = 6617 kg/m3
Calculated total energy = -49.88 eV/cell
Space-group type = No. 11

***

Below is a relaxed structure of La4CePr15, with properties calculated at the PBE level.

Cell lengths 5.2534, 5.2534, 26.2539 Å; angles 90.00, 90.00, 90.00 degrees
With the nearest neighbours (Å) after each atom.
Fractional coordinates of all 20 atoms:
La (0.0000, 0.0000, 0.1003)  12 Pr 3.71-3.73
La (0.0000, 0.0000, 0.3011)  12 Pr 3.71-3.75
La (0.0000, 0.0000, 0.6989)  12 Pr 3.71-3.75
La (0.0000, 0.0000, 0.8997)  12 Pr 3.71-3.73
Ce (0.0000, 0.0000, 0.5000)  12 Pr 3.66-3.71
Pr (0.0000, 0.5000, 0.0000)  8 Pr 3.71-3.72, 4 La 3.72
Pr (0.0000, 0.5000, 0.2012)  4 La 3.71-3.73, 8 Pr 3.71-3.73
Pr (0.0000, 0.5000, 0.4030)  2 Ce 3.66, 8 Pr 3.66-3.75, 2 La 3.75
Pr (0.0000, 0.5000, 0.5970)  2 Ce 3.66, 8 Pr 3.66-3.75, 2 La 3.75
Pr (0.0000, 0.5000, 0.7988)  4 La 3.71-3.73, 8 Pr 3.71-3.73
Pr (0.5000, 0.0000, 0.0000)  8 Pr 3.71-3.72, 4 La 3.72
Pr (0.5000, 0.0000, 0.2012)  4 La 3.71-3.73, 8 Pr 3.71-3.73
Pr (0.5000, 0.0000, 0.4030)  2 Ce 3.66, 8 Pr 3.66-3.75, 2 La 3.75
Pr (0.5000, 0.0000, 0.5970)  2 Ce 3.66, 8 Pr 3.66-3.75, 2 La 3.75
Pr (0.5000, 0.0000, 0.7988)  4 La 3.71-3.73, 8 Pr 3.71-3.73
Pr (0.5000, 0.5000, 0.1004)  4 La 3.71, 8 Pr 3.72-3.73
Pr (0.5000, 0.5000, 0.3013)  4 La 3.71, 8 Pr 3.72-3.75
Pr (0.5000, 0.5000, 0.5000)  8 Pr 3.66, 4 Ce 3.71
Pr (0.5000, 0.5000, 0.6987)  4 La 3.71, 8 Pr 3.72-3.75
Pr (0.5000, 0.5000, 0.8996)  4 La 3.71, 8 Pr 3.72-3.73

DFT formation energy = 0.026 eV/atom
Spin magnetization = 1.197 μB/cell
Mass density = 6438 kg/m3
Calculated total energy = -96.81 eV/cell
Space-group type = No. 123

***

Below is a relaxed structure of La4CePr, with properties calculated at the PBE level.

Cell lengths 11.6982, 3.5192, 11.6874 Å; angles 90.00, 118.33, 90.00 degrees
With the nearest neighbours (Å) after each atom.
Fractional coordinates of all 12 atoms:
La (0.1577, 0.0000, 0.3318)  1 Ce 3.41, 5 La 3.52-3.74, 3 Pr 3.53-3.72
La (0.1610, 0.5000, 0.8461)  3 Ce 3.49-3.62, 7 La 3.52-3.74, 1 Pr 3.56
La (0.3390, 0.0000, 0.1539)  3 Ce 3.49-3.62, 7 La 3.52-3.74, 1 Pr 3.56
La (0.3423, 0.5000, 0.6682)  1 Ce 3.41, 5 La 3.52-3.74, 3 Pr 3.53-3.72
La (0.6577, 0.5000, 0.3318)  1 Ce 3.41, 5 La 3.52-3.74, 3 Pr 3.53-3.72
La (0.6610, 0.0000, 0.8461)  3 Ce 3.49-3.62, 7 La 3.52-3.74, 1 Pr 3.56
La (0.8390, 0.5000, 0.1539)  3 Ce 3.49-3.62, 7 La 3.52-3.74, 1 Pr 3.56
La (0.8423, 0.0000, 0.6682)  1 Ce 3.41, 5 La 3.52-3.74, 3 Pr 3.53-3.72
Ce (0.0000, 0.0000, 0.0000)  8 La 3.41-3.62, 2 Ce 3.52
Ce (0.5000, 0.5000, 0.0000)  8 La 3.41-3.62, 2 Ce 3.52
Pr (0.0000, 0.5000, 0.5000)  2 Pr 3.52, 8 La 3.53-3.72
Pr (0.5000, 0.0000, 0.5000)  2 Pr 3.52, 8 La 3.53-3.72

DFT formation energy = 0.173 eV/atom
Spin magnetization = 2.596 μB/cell
Mass density = 6561 kg/m3
Calculated total energy = -58.77 eV/cell
Space-group type = No. 12

***

Below is a relaxed structure of La4CePr7, with properties calculated at the PBE level.

Cell lengths 3.6994, 3.6994, 36.4310 Å; angles 90.00, 90.00, 120.00 degrees
With the nearest neighbours (Å) after each atom.
Fractional coordinates of all 12 atoms:
La (0.3333, 0.6667, 0.1643)  6 La 3.70, 6 Pr 3.71-3.80
La (0.3333, 0.6667, 0.4158)  6 La 3.70, 6 Pr 3.74
La (0.6667, 0.3333, 0.5842)  6 La 3.70, 6 Pr 3.74
La (0.6667, 0.3333, 0.8357)  6 La 3.70, 6 Pr 3.71-3.80
Ce (0.0000, 0.0000, 0.0000)  6 Pr 3.55, 6 Ce 3.70
Pr (0.0000, 0.0000, 0.2477)  9 Pr 3.70-3.73, 3 La 3.71
Pr (0.0000, 0.0000, 0.5000)  6 Pr 3.70, 6 La 3.74
Pr (0.0000, 0.0000, 0.7523)  9 Pr 3.70-3.73, 3 La 3.71
Pr (0.3333, 0.6667, 0.6684)  9 Pr 3.70-3.73, 3 La 3.74
Pr (0.3333, 0.6667, 0.9220)  3 Ce 3.55, 6 Pr 3.70, 3 La 3.80
Pr (0.6667, 0.3333, 0.0780)  3 Ce 3.55, 6 Pr 3.70, 3 La 3.80
Pr (0.6667, 0.3333, 0.3316)  9 Pr 3.70-3.73, 3 La 3.74

DFT formation energy = 0.030 eV/atom
Spin magnetization = 0.010 μB/cell
Mass density = 6469 kg/m3
Calculated total energy = -58.74 eV/cell
Space-group type = No. 164

***

Below is a relaxed structure of La2CePr6, with properties calculated at the PBE level.

Cell lengths 8.2783, 8.2783, 5.6298 Å; angles 90.00, 90.00, 121.43 degrees
With the nearest neighbours (Å) after each atom.
Fractional coordinates of all 9 atoms:
La (0.2255, 0.7745, 0.0000)  10 Pr 3.82-3.94, 2 La 4.11
La (0.7745, 0.2255, 0.0000)  10 Pr 3.82-3.94, 2 La 4.11
Ce (0.0000, 0.0000, 0.5000)  4 Pr 3.10
Pr (0.1534, 0.4309, 0.5000)  1 Ce 3.10, 4 Pr 3.28-3.46
Pr (0.2739, 0.2739, 0.0000)  5 Pr 3.46-3.66, 2 Ce 3.58
Pr (0.4309, 0.1534, 0.5000)  1 Ce 3.10, 4 Pr 3.28-3.46
Pr (0.5691, 0.8466, 0.5000)  1 Ce 3.10, 4 Pr 3.28-3.46
Pr (0.7261, 0.7261, 0.0000)  5 Pr 3.46-3.66, 2 Ce 3.58
Pr (0.8466, 0.5691, 0.5000)  1 Ce 3.10, 4 Pr 3.28-3.46

DFT formation energy = 0.249 eV/atom
Spin magnetization = 1.369 μB/cell
Mass density = 6373 kg/m3
Calculated total energy = -42.23 eV/cell
Space-group type = No. 65

***

Below is a relaxed structure of La2CePr4, with properties calculated at the PBE level.

Cell lengths 8.2064, 8.2064, 7.6595 Å; angles 98.35, 98.35, 88.85 degrees
With the nearest neighbours (Å) after each atom.
Fractional coordinates of all 14 atoms:
La (0.0000, 0.0000, 0.0000)  2 Pr 3.40
La (0.0000, 0.0000, 0.5000)  6 Pr 3.09-3.41
La (0.0000, 0.5000, 0.0000)  6 Pr 3.54-3.58
La (0.5000, 0.0000, 0.0000)  6 Pr 3.54-3.58
Ce (0.5000, 0.5000, 0.0000)  2 Pr 3.24
Ce (0.5000, 0.5000, 0.5000)  2 Pr 2.92
Pr (0.1787, 0.6678, 0.6711)  1 Ce 3.30, 2 La 3.41-3.54, 2 Pr 3.47-3.52
Pr (0.2516, 0.2516, 0.7215)  1 La 3.09, 1 Ce 3.24, 1 Pr 3.41
Pr (0.2648, 0.2648, 0.2803)  1 Ce 2.92
Pr (0.3322, 0.8213, 0.3289)  1 Ce 3.30, 2 La 3.41-3.54, 2 Pr 3.47-3.52
Pr (0.6678, 0.1787, 0.6711)  1 Ce 3.30, 2 La 3.41-3.54, 2 Pr 3.47-3.52
Pr (0.7352, 0.7352, 0.7197)  1 Ce 2.92
Pr (0.7484, 0.7484, 0.2785)  1 La 3.09, 1 Ce 3.24, 1 Pr 3.41
Pr (0.8213, 0.3322, 0.3289)  1 Ce 3.30, 2 La 3.41-3.54, 2 Pr 3.47-3.52

DFT formation energy = 0.246 eV/atom
Spin magnetization = 1.369 μB/cell
Mass density = 6456 kg/m3
Calculated total energy = -66.37 eV/cell
Space-group type = No. 12

***

Below is a relaxed structure of La10CePr4, with properties calculated at the PBE level.

Cell lengths 8.8650, 8.8650, 8.8650 Å; angles 110.87, 110.87, 106.71 degrees
With the nearest neighbours (Å) after each atom.
Fractional coordinates of all 15 atoms:
La (0.0387, 0.7229, 0.0773)  5 La 3.27-3.45
La (0.0386, 0.9613, 0.6842)  5 La 3.27-3.45
La (0.2500, 0.7500, 0.5000)  4 Pr 3.26, 4 La 3.42
La (0.2771, 0.3543, 0.3158)  5 La 3.27-3.45
La (0.3543, 0.0386, 0.0773)  5 La 3.27-3.45
La (0.6457, 0.9614, 0.9227)  5 La 3.27-3.45
La (0.7229, 0.6457, 0.6842)  5 La 3.27-3.45
La (0.7500, 0.2500, 0.5000)  4 Pr 3.26, 4 La 3.42
La (0.9614, 0.0387, 0.3158)  5 La 3.27-3.45
La (0.9613, 0.2771, 0.9227)  5 La 3.27-3.45
Ce (0.5000, 0.5000, 0.0000)  4 Pr 3.20
Pr (0.1845, 0.5433, 0.7278)  1 Ce 3.20, 2 La 3.26
Pr (0.4567, 0.1845, 0.6412)  1 Ce 3.20, 2 La 3.26
Pr (0.5433, 0.8155, 0.3588)  1 Ce 3.20, 2 La 3.26
Pr (0.8155, 0.4567, 0.2722)  1 Ce 3.20, 2 La 3.26

DFT formation energy = 0.253 eV/atom
Spin magnetization = 1.059 μB/cell
Mass density = 6491 kg/m3
Calculated total energy = -70.53 eV/cell
Space-group type = No. 87

***

Below is a relaxed structure of La6CePr7, with properties calculated at the PBE level.

Cell lengths 8.9409, 8.9409, 8.9409 Å; angles 60.69, 60.69, 60.69 degrees
With the nearest neighbours (Å) after each atom.
Fractional coordinates of all 14 atoms:
La (0.0129, 0.2467, 0.7404)  2 La 3.24-3.32, 3 Pr 3.34-3.48, 1 Ce 3.42
La (0.1407, 0.8867, 0.6457)  2 La 3.24-3.32, 4 Pr 3.37-3.53
La (0.2467, 0.7404, 0.0129)  2 La 3.24-3.32, 3 Pr 3.34-3.48, 1 Ce 3.42
La (0.6457, 0.1407, 0.8867)  2 La 3.24-3.32, 4 Pr 3.37-3.53
La (0.7404, 0.0129, 0.2467)  2 La 3.24-3.32, 3 Pr 3.34-3.48, 1 Ce 3.42
La (0.8867, 0.6457, 0.1407)  2 La 3.24-3.32, 4 Pr 3.37-3.53
Ce (0.3031, 0.3031, 0.3031)  3 La 3.42, 3 Pr 3.75
Pr (0.0061, 0.6763, 0.5073)  4 La 3.34-3.73
Pr (0.2124, 0.3765, 0.8887)  3 La 3.37-3.48, 2 Pr 3.76-3.77
Pr (0.3765, 0.8887, 0.2124)  3 La 3.37-3.48, 2 Pr 3.76-3.77
Pr (0.5073, 0.0061, 0.6763)  4 La 3.34-3.73
Pr (0.5844, 0.5844, 0.5844)  3 La 3.49, 3 Pr 3.76
Pr (0.6763, 0.5073, 0.0061)  4 La 3.34-3.73
Pr (0.8887, 0.2125, 0.3765)  3 La 3.37-3.48, 2 Pr 3.76-3.77

DFT formation energy = 0.217 eV/atom
Spin magnetization = 0.924 μB/cell
Mass density = 6341 kg/m3
Calculated total energy = -65.92 eV/cell
Space-group type = No. 146

***

Below is a relaxed structure of LaCe4Pr, with properties calculated at the PBE level.

Cell lengths 6.3881, 6.3881, 6.3881 Å; angles 60.00, 60.00, 60.00 degrees
With the nearest neighbours (Å) after each atom.
Fractional coordinates of all 6 atoms:
La (0.0000, 0.0000, 0.0000)  12 Ce 3.75, 4 Pr 3.91
Ce (0.3751, 0.3751, 0.3751)  6 Ce 3.19-3.20
Ce (0.3751, 0.3751, 0.8748)  6 Ce 3.19-3.20
Ce (0.3751, 0.8748, 0.3751)  6 Ce 3.19-3.20
Ce (0.8748, 0.3751, 0.3751)  6 Ce 3.19-3.20
Pr (0.7500, 0.7500, 0.7500)  12 Ce 3.75, 4 La 3.91

DFT formation energy = 0.190 eV/atom
Spin magnetization = 4.303 μB/cell
Mass density = 7570 kg/m3
Calculated total energy = -32.30 eV/cell
Space-group type = No. 216